# 1
Density functional theory data (GGA-PBE) for a relaxed structure of Ba5DyBi4.

Uncorrected energy (eV per cell): -37.011
Volume (A^3/atom): 48.12
Density (g/cm3): 5.8
E_form (eV per formula unit): -7.3

Lattice parameters (Å, degrees): 11.606 11.606 9.225 113.37 113.37 25.08
Positions (direct):
Ba  0.000  0.000  0.000
Ba  0.335  0.335  0.082
Ba  0.335  0.335  0.586
Ba  0.665  0.665  0.414
Ba  0.665  0.665  0.918
Dy  0.000  0.000  0.500
Bi  0.188  0.188  0.689
Bi  0.500  0.500  0.274
Bi  0.500  0.500  0.726
Bi  0.812  0.812  0.311

=====

# 2
Density functional theory data (GGA-PBE) for a relaxed structure of BaDyBi2.

Uncorrected energy (eV per cell): -17.364
Volume (A^3/atom): 38.54
Energy above the lowest structure with this stoichiometry (eV/atom): 0.000
Density (g/cm3): 7.7
E_form (eV per formula unit): -3.1

Lattice parameters (Å, degrees): 8.341 8.341 8.341 33.12 33.12 33.12
Positions (direct):
Ba  0.000  0.000  0.000
Dy  0.500  0.500  0.500
Bi  0.236  0.236  0.236
Bi  0.764  0.764  0.764

=====

# 3
Density functional theory data (GGA-PBE) for a relaxed structure of BaDyBi2.

Uncorrected energy (eV per cell): -17.238
Volume (A^3/atom): 38.62
Energy above the lowest structure with this stoichiometry (eV/atom): 0.031
Density (g/cm3): 7.7
E_form (eV per formula unit): -3.0

Lattice parameters (Å, degrees): 8.832 8.832 8.832 30.20 30.20 30.20
Positions (direct):
Ba  0.000  0.000  0.000
Dy  0.829  0.829  0.829
Bi  0.235  0.235  0.235
Bi  0.427  0.427  0.427

=====

# 4
Density functional theory data (GGA-PBE) for a relaxed structure of BaDyHgBi.

Uncorrected energy (eV per cell): -12.557
Volume (A^3/atom): 32.67
Density (g/cm3): 9.0
E_form (eV per formula unit): -1.8

Lattice parameters (Å, degrees): 5.696 5.696 5.696 60.00 60.00 60.00
Positions (direct):
Ba  0.000  0.000  0.000
Dy  0.500  0.500  0.500
Hg  0.750  0.750  0.750
Bi  0.250  0.250  0.250

=====

# 5
Density functional theory data (GGA-PBE) for a relaxed structure of KBa2DyBi2O9.

Formation energy from raw total energies (meV/atom): -1166
Uncorrected energy (eV per cell): -158.841
Volume (A^3/atom): 21.58
Density (g/cm3): 5.3

Lattice parameters (Å, degrees): 6.881 6.881 15.787 90.00 90.00 120.00
Positions (direct):
K  0.333  0.667  0.160
K  0.667  0.333  0.840
Ba  0.000  0.000  0.277
Ba  0.000  0.000  0.723
Ba  0.333  0.667  0.637
Ba  0.667  0.333  0.363
Dy  0.333  0.667  0.408
Dy  0.667  0.333  0.592
Bi  0.000  0.000  0.000
Bi  0.000  0.000  0.500
Bi  0.333  0.667  0.943
Bi  0.667  0.333  0.057
O  0.000  0.500  0.000
O  0.000  0.500  0.500
O  0.136  0.272  0.586
O  0.136  0.864  0.586
O  0.214  0.428  0.297
O  0.214  0.786  0.297
O  0.272  0.136  0.414
O  0.428  0.214  0.703
O  0.500  0.000  0.000
O  0.500  0.000  0.500
O  0.500  0.500  0.000
O  0.500  0.500  0.500
O  0.572  0.786  0.297
O  0.728  0.864  0.586
O  0.786  0.214  0.703
O  0.786  0.572  0.703
O  0.864  0.136  0.414
O  0.864  0.728  0.414

=====

# 6
Density functional theory data (GGA-PBE) for a relaxed structure of Ba4DyBi3O12.

Formation energy from raw total energies (meV/atom): -2076
Uncorrected energy (eV per cell): -124.960
Volume (A^3/atom): 17.01
Density (g/cm3): 7.5

Lattice parameters (Å, degrees): 7.616 7.616 7.616 109.47 109.47 109.47
Positions (direct):
Ba  0.000  0.000  0.500
Ba  0.000  0.500  0.000
Ba  0.500  0.000  0.000
Ba  0.500  0.500  0.500
Dy  0.000  0.000  0.000
Bi  0.000  0.500  0.500
Bi  0.500  0.000  0.500
Bi  0.500  0.500  0.000
O  0.000  0.253  0.253
O  0.000  0.747  0.747
O  0.250  0.500  0.750
O  0.250  0.750  0.500
O  0.253  0.000  0.253
O  0.253  0.253  0.000
O  0.500  0.250  0.750
O  0.500  0.750  0.250
O  0.747  0.000  0.747
O  0.747  0.747  0.000
O  0.750  0.250  0.500
O  0.750  0.500  0.250

=====

# 7
Density functional theory data (GGA-PBE) for a relaxed structure of Ba3DyBi2O6.

Formation energy from raw total energies (meV/atom): -2130
Uncorrected energy (eV per cell): -73.443
Volume (A^3/atom): 19.83
Density (g/cm3): 7.6

Lattice parameters (Å, degrees): 6.157 6.157 7.248 90.00 90.00 120.00
Positions (direct):
Ba  0.000  0.000  0.000
Ba  0.333  0.667  0.626
Ba  0.667  0.333  0.374
Dy  0.000  0.000  0.500
Bi  0.333  0.667  0.124
Bi  0.667  0.333  0.876
O  0.172  0.344  0.320
O  0.172  0.828  0.320
O  0.344  0.172  0.680
O  0.656  0.828  0.320
O  0.828  0.172  0.680
O  0.828  0.656  0.680

=====

# 8
Density functional theory data (GGA-PBE) for a relaxed structure of Ba3DyTh2Bi6.

Uncorrected energy (eV per cell): -57.987
Volume (A^3/atom): 39.59
Density (g/cm3): 8.0
E_form (eV per formula unit): -9.5

Lattice parameters (Å, degrees): 8.211 8.211 8.590 99.17 99.17 120.05
Positions (direct):
Ba  0.000  0.000  0.000
Ba  0.333  0.667  0.000
Ba  0.667  0.333  0.000
Dy  0.500  0.500  0.500
Th  0.166  0.834  0.500
Th  0.834  0.166  0.500
Bi  0.097  0.428  0.283
Bi  0.242  0.242  0.718
Bi  0.428  0.097  0.283
Bi  0.572  0.903  0.717
Bi  0.758  0.758  0.282
Bi  0.903  0.572  0.717

=====

- Which of these has the highest uncorrected energy?
  BaDyHgBi

=====

- volume of number 3 (BaDyBi2)?
  38.62 A^3/atom

=====

Copy entry 7 word for word.
Density functional theory data (GGA-PBE) for a relaxed structure of Ba3DyBi2O6.

Formation energy from raw total energies (meV/atom): -2130
Uncorrected energy (eV per cell): -73.443
Volume (A^3/atom): 19.83
Density (g/cm3): 7.6

Lattice parameters (Å, degrees): 6.157 6.157 7.248 90.00 90.00 120.00
Positions (direct):
Ba  0.000  0.000  0.000
Ba  0.333  0.667  0.626
Ba  0.667  0.333  0.374
Dy  0.000  0.000  0.500
Bi  0.333  0.667  0.124
Bi  0.667  0.333  0.876
O  0.172  0.344  0.320
O  0.172  0.828  0.320
O  0.344  0.172  0.680
O  0.656  0.828  0.320
O  0.828  0.172  0.680
O  0.828  0.656  0.680

=====

What did the first record say?
Density functional theory data (GGA-PBE) for a relaxed structure of Ba5DyBi4.

Uncorrected energy (eV per cell): -37.011
Volume (A^3/atom): 48.12
Density (g/cm3): 5.8
E_form (eV per formula unit): -7.3

Lattice parameters (Å, degrees): 11.606 11.606 9.225 113.37 113.37 25.08
Positions (direct):
Ba  0.000  0.000  0.000
Ba  0.335  0.335  0.082
Ba  0.335  0.335  0.586
Ba  0.665  0.665  0.414
Ba  0.665  0.665  0.918
Dy  0.000  0.000  0.500
Bi  0.188  0.188  0.689
Bi  0.500  0.500  0.274
Bi  0.500  0.500  0.726
Bi  0.812  0.812  0.311